The following is a DFT calculation (PBE) of a relaxed TaI2Br5 crystal.

Output
* total DFT energy (no corrections): -3.526 eV/atom
* ΔE_f (raw): -611 meV/atom
* density of states at the Fermi level: 3.85 states/eV/f.u.

Cell: 11.403 11.418 6.016 Å, 90.00 90.00 90.00°
Space group Imm2 (No. 44)
Unique sites:
1 Ta 0.000 0.000 0.000
2 I 0.000 0.500 0.166
3 I 0.000 0.500 0.666
4 Br 0.000 0.000 0.396
5 Br 0.150 0.150 0.906

The following is a DFT calculation (PBE) of a relaxed Tb5TmTl8 crystal.

Output
* calculated formation energy: -321.0 kJ/mol of formula units
* total DFT energy (no corrections): -3.563 eV/atom
* density of states at the Fermi level: 11.64 states/eV/f.u.

Cell: 9.312 9.312 9.223 Å, 90.00 90.00 90.00°
Space group I-4 (No. 82)
Unique sites:
1 Tb 0.000 0.000 0.000
2 Tb 0.122 0.247 0.626
3 Tm 0.000 0.500 0.250
4 Tl 0.079 0.333 0.960
5 Tl 0.083 0.173 0.291

Number 1: volume 783.4 Å³ per cell. Number 2: volume 799.7 Å³ per cell.